DFT (PBE) results for a relaxed CaPrSm crystal.

The structure in POSCAR format:
```
CaPrSm
1.0
-1.467 0.330 3.232
-8.454 0.214 -3.859
-0.404 -6.768 0.509
Pr Ca Sm
2 2 2
direct
0.500 0.215 0.250 Pr
0.500 0.785 0.750 Pr
0.000 0.144 0.750 Ca
0.000 0.856 0.250 Ca
0.000 0.500 0.500 Sm
0.000 0.500 0.000 Sm
```

Calculated values
Energy of formation   0.1523 eV per atom
Spin magnetization   0.001 Bohr magnetons per cell